# 1
# HoEr4Sb2, relaxed, DFT PBE
data_HoEr4Sb2
_chemical_formula_sum 'Ho2 Er8 Sb4'
_space_group_name_H-M_alt 'I 4/m m m'
_space_group_IT_number 139
_space_group_name_Hall '-I 4 2'
_cell_length_a 5.219
_cell_length_b 5.219
_cell_length_c 16.299
_cell_angle_alpha 90.00
_cell_angle_beta 90.00
_cell_angle_gamma 90.00
loop_
_atom_site_label
_atom_site_fract_x
_atom_site_fract_y
_atom_site_fract_z
_atom_site_occupancy
Ho1 0.000 0.000 0.000 1
Er1 0.000 0.000 0.183 1
Er2 0.000 0.500 0.000 1
Sb1 0.000 0.000 0.367 1
# Formation energy without anion corrections = 28.1 kJ/mol of atoms
# Electronic total energy = -4.148 eV per atom

---

# 2
# HoEr3Sb, relaxed, DFT PBE
data_HoEr3Sb
_chemical_formula_sum 'Ho4 Er12 Sb4'
_space_group_name_H-M_alt 'P n m a'
_space_group_IT_number 62
_cell_length_a 10.523
_cell_length_b 3.926
_cell_length_c 14.394
_cell_angle_alpha 90.00
_cell_angle_beta 90.00
_cell_angle_gamma 90.00
loop_
_space_group_symop_operation_xyz
'x,y,z'
'-x,-y,-z'
'-x+1/2,-y,z+1/2'
'x+1/2,y,-z+1/2'
'x+1/2,-y+1/2,-z+1/2'
'-x+1/2,y+1/2,z+1/2'
'-x,y+1/2,-z'
'x,-y+1/2,z'
loop_
_atom_site_label
_atom_site_fract_x
_atom_site_fract_y
_atom_site_fract_z
_atom_site_occupancy
Ho1 0.162 0.250 0.030 1
Er1 0.086 0.250 0.425 1
Er2 0.115 0.750 0.234 1
Er3 0.132 0.750 0.818 1
Sb1 0.130 0.250 0.638 1
# Formation energy without anion corrections = -34.5 kJ/mol of atoms
# Electronic total energy = -4.836 eV per atom

---

# 3
# HoEr2Sb, relaxed, DFT PBE
data_HoEr2Sb
_chemical_formula_sum 'Ho4 Er8 Sb4'
_space_group_name_H-M_alt 'C m c m'
_space_group_IT_number 63
_space_group_name_Hall '-C 2c 2'
_cell_length_a 4.091
_cell_length_b 12.138
_cell_length_c 9.422
_cell_angle_alpha 90.00
_cell_angle_beta 90.00
_cell_angle_gamma 90.00
loop_
_atom_site_label
_atom_site_fract_x
_atom_site_fract_y
_atom_site_fract_z
_atom_site_occupancy
Ho1 0.000 0.058 0.250 1
Er1 0.000 0.364 0.047 1
Sb1 0.000 0.242 0.750 1
# Formation energy without anion corrections = -52.2 kJ/mol of atoms
# Electronic total energy = -4.997 eV per atom
# Energy relative to the lowest polymorph listed for this composition = 0.0 kJ/mol of formula units

---

# 4
# Ho3ErSb2, relaxed, DFT PBE
data_Ho3ErSb2
_chemical_formula_sum 'Ho3 Er1 Sb2'
_space_group_name_H-M_alt 'P -4 m 2'
_space_group_IT_number 115
_cell_length_a 4.451
_cell_length_b 4.451
_cell_length_c 8.406
_cell_angle_alpha 90.00
_cell_angle_beta 90.00
_cell_angle_gamma 90.00
loop_
_space_group_symop_operation_xyz
'x,y,z'
'y,-x,-z'
'-x,-y,z'
'-y,x,-z'
'-x,y,z'
'-y,-x,-z'
'x,-y,z'
'y,x,-z'
loop_
_atom_site_label
_atom_site_fract_x
_atom_site_fract_y
_atom_site_fract_z
_atom_site_occupancy
Ho1 0.000 0.000 0.000 1
Ho2 0.000 0.500 0.651 1
Er1 0.500 0.500 0.000 1
Sb1 0.000 0.500 0.281 1
# Formation energy without anion corrections = -75.5 kJ/mol of atoms
# Electronic total energy = -5.206 eV per atom
# Energy relative to the lowest polymorph listed for this composition = 0.0 kJ/mol of formula units

---

# 5
# Ho2Er5Sb4, relaxed, DFT PBE
data_Ho2Er5Sb4
_chemical_formula_sum 'Ho4 Er10 Sb8'
_space_group_name_H-M_alt 'C 1 2/m 1'
_space_group_IT_number 12
_cell_length_a 25.664
_cell_length_b 3.617
_cell_length_c 7.230
_cell_angle_alpha 90.00
_cell_angle_beta 91.48
_cell_angle_gamma 90.00
loop_
_space_group_symop_operation_xyz
'x,y,z'
'-x,-y,-z'
'-x,y,-z'
'x,-y,z'
'x+1/2,y+1/2,z'
'-x+1/2,-y+1/2,-z'
'-x+1/2,y+1/2,-z'
'x+1/2,-y+1/2,z'
loop_
_atom_site_label
_atom_site_fract_x
_atom_site_fract_y
_atom_site_fract_z
_atom_site_occupancy
Ho1 0.236 0.000 0.282 1
Er1 0.000 0.500 0.500 1
Er2 0.090 0.000 0.197 1
Er3 0.141 0.000 0.661 1
Sb1 0.033 0.000 0.818 1
Sb2 0.172 0.500 0.001 1
# Formation energy without anion corrections = -40.7 kJ/mol of atoms
# Electronic total energy = -4.827 eV per atom

---

# 6
# Ho5ErSb4, relaxed, DFT PBE
data_Ho5ErSb4
_chemical_formula_sum 'Ho10 Er2 Sb8'
_space_group_name_H-M_alt 'C 1 2/m 1'
_space_group_IT_number 12
_cell_length_a 18.515
_cell_length_b 4.277
_cell_length_c 8.358
_cell_angle_alpha 90.00
_cell_angle_beta 105.70
_cell_angle_gamma 90.00
loop_
_space_group_symop_operation_xyz
'x,y,z'
'-x,-y,-z'
'-x,y,-z'
'x,-y,z'
'x+1/2,y+1/2,z'
'-x+1/2,-y+1/2,-z'
'-x+1/2,y+1/2,-z'
'x+1/2,-y+1/2,z'
loop_
_atom_site_label
_atom_site_fract_x
_atom_site_fract_y
_atom_site_fract_z
_atom_site_occupancy
Ho1 0.000 0.000 0.000 1
Ho2 0.163 0.500 0.320 1
Ho3 0.179 0.500 0.851 1
Er1 0.000 0.000 0.500 1
Sb1 0.008 0.500 0.757 1
Sb2 0.169 0.000 0.585 1
# Formation energy without anion corrections = -68.0 kJ/mol of atoms
# Electronic total energy = -5.098 eV per atom

---

# 7
# Ho3Er4Sb4, relaxed, DFT PBE
data_Ho3Er4Sb4
_chemical_formula_sum 'Ho6 Er8 Sb8'
_space_group_name_H-M_alt 'I m m m'
_space_group_IT_number 71
_space_group_name_Hall '-I 2 2'
_cell_length_a 4.022
_cell_length_b 9.110
_cell_length_c 17.056
_cell_angle_alpha 90.00
_cell_angle_beta 90.00
_cell_angle_gamma 90.00
loop_
_atom_site_label
_atom_site_fract_x
_atom_site_fract_y
_atom_site_fract_z
_atom_site_occupancy
Ho1 0.000 0.000 0.000 1
Ho2 0.000 0.500 0.101 1
Er1 0.000 0.316 0.331 1
Sb1 0.000 0.000 0.263 1
Sb2 0.000 0.206 0.500 1
# Formation energy without anion corrections = -70.7 kJ/mol of atoms
# Electronic total energy = -5.139 eV per atom

---

# 8
# HoEr2Sb, relaxed, DFT PBE
data_HoEr2Sb
_chemical_formula_sum 'Ho1 Er2 Sb1'
_space_group_name_H-M_alt 'P 4/m m m'
_space_group_IT_number 123
_space_group_name_Hall '-P 4 2'
_cell_length_a 4.021
_cell_length_b 4.021
_cell_length_c 6.929
_cell_angle_alpha 90.00
_cell_angle_beta 90.00
_cell_angle_gamma 90.00
loop_
_atom_site_label
_atom_site_fract_x
_atom_site_fract_y
_atom_site_fract_z
_atom_site_occupancy
Ho1 0.000 0.000 0.000 1
Er1 0.500 0.500 0.270 1
Sb1 0.000 0.000 0.500 1
# Formation energy without anion corrections = -44.1 kJ/mol of atoms
# Electronic total energy = -4.914 eV per atom
# Energy relative to the lowest polymorph listed for this composition = 32.1 kJ/mol of formula units

---

# 9
# Ho5Er2Sb4, relaxed, DFT PBE
data_Ho5Er2Sb4
_chemical_formula_sum 'Ho10 Er4 Sb8'
_space_group_name_H-M_alt 'C 1 2/m 1'
_space_group_IT_number 12
_cell_length_a 25.708
_cell_length_b 3.620
_cell_length_c 7.246
_cell_angle_alpha 90.00
_cell_angle_beta 91.55
_cell_angle_gamma 90.00
loop_
_space_group_symop_operation_xyz
'x,y,z'
'-x,-y,-z'
'-x,y,-z'
'x,-y,z'
'x+1/2,y+1/2,z'
'-x+1/2,-y+1/2,-z'
'-x+1/2,y+1/2,-z'
'x+1/2,-y+1/2,z'
loop_
_atom_site_label
_atom_site_fract_x
_atom_site_fract_y
_atom_site_fract_z
_atom_site_occupancy
Ho1 0.000 0.000 0.000 1
Ho2 0.090 0.500 0.697 1
Ho3 0.141 0.500 0.164 1
Er1 0.236 0.500 0.784 1
Sb1 0.032 0.500 0.319 1
Sb2 0.173 0.000 0.503 1
# Formation energy without anion corrections = -41.2 kJ/mol of atoms
# Electronic total energy = -4.837 eV per atom

---

# 10
# Ho4ErSb2, relaxed, DFT PBE
data_Ho4ErSb2
_chemical_formula_sum 'Ho8 Er2 Sb4'
_space_group_name_H-M_alt 'I 4/m m m'
_space_group_IT_number 139
_space_group_name_Hall '-I 4 2'
_cell_length_a 5.225
_cell_length_b 5.225
_cell_length_c 16.355
_cell_angle_alpha 90.00
_cell_angle_beta 90.00
_cell_angle_gamma 90.00
loop_
_atom_site_label
_atom_site_fract_x
_atom_site_fract_y
_atom_site_fract_z
_atom_site_occupancy
Ho1 0.000 0.000 0.183 1
Ho2 0.000 0.500 0.000 1
Er1 0.000 0.000 0.000 1
Sb1 0.000 0.000 0.367 1
# Formation energy without anion corrections = 25.0 kJ/mol of atoms
# Electronic total energy = -4.186 eV per atom

---

# 11
# Ho3ErSb, relaxed, DFT PBE
data_Ho3ErSb
_chemical_formula_sum 'Ho12 Er4 Sb4'
_space_group_name_H-M_alt 'P n m a'
_space_group_IT_number 62
_cell_length_a 10.566
_cell_length_b 3.923
_cell_length_c 14.448
_cell_angle_alpha 90.00
_cell_angle_beta 90.00
_cell_angle_gamma 90.00
loop_
_space_group_symop_operation_xyz
'x,y,z'
'-x,-y,-z'
'-x+1/2,-y,z+1/2'
'x+1/2,y,-z+1/2'
'x+1/2,-y+1/2,-z+1/2'
'-x+1/2,y+1/2,z+1/2'
'-x,y+1/2,-z'
'x,-y+1/2,z'
loop_
_atom_site_label
_atom_site_fract_x
_atom_site_fract_y
_atom_site_fract_z
_atom_site_occupancy
Ho1 0.087 0.250 0.074 1
Ho2 0.115 0.750 0.266 1
Ho3 0.132 0.750 0.681 1
Er1 0.164 0.250 0.469 1
Sb1 0.130 0.250 0.862 1
# Formation energy without anion corrections = -33.9 kJ/mol of atoms
# Electronic total energy = -4.835 eV per atom

---

# 12
# Ho2Er2Sb3, relaxed, DFT PBE
data_Ho2Er2Sb3
_chemical_formula_sum 'Ho2 Er2 Sb3'
_space_group_name_H-M_alt 'P -1'
_space_group_IT_number 2
_cell_length_a 4.324
_cell_length_b 7.296
_cell_length_c 7.328
_cell_angle_alpha 81.16
_cell_angle_beta 89.96
_cell_angle_gamma 72.82
loop_
_space_group_symop_operation_xyz
'x,y,z'
'-x,-y,-z'
loop_
_atom_site_label
_atom_site_fract_x
_atom_site_fract_y
_atom_site_fract_z
_atom_site_occupancy
Ho1 0.124 0.252 0.364 1
Er1 0.380 0.739 0.115 1
Sb1 0.243 0.014 0.752 1
Sb2 0.500 0.500 0.500 1
# Formation energy without anion corrections = -78.5 kJ/mol of atoms
# Electronic total energy = -5.192 eV per atom